No. 1
DFT (PBE) results for a relaxed KZrAl3 crystal.

abc: 5.409 5.409 5.409
angles: 90.00 90.00 90.00
Fractional positions:
1 K 0.500 0.500 0.500
2 Al 0.000 0.500 0.000
3 Al 0.500 0.000 0.000
4 Al 0.000 0.000 0.500
5 Zr 0.000 0.000 0.000

**Energy relative to the lowest polymorph listed for this composition**: 0.000 eV/atom

***

No. 2
DFT (PBE) results for a relaxed KZrAl crystal.

abc: 5.344 5.344 2.915
angles: 90.00 90.00 120.00
Fractional positions:
1 K 0.667 0.333 0.499
2 Zr 0.333 0.667 0.500
3 Al 0.000 0.000 0.000

**Energy relative to the lowest polymorph listed for this composition**: 0.614 eV/atom

***

No. 3
DFT (PBE) results for a relaxed KZrAl crystal.

abc: 3.777 12.914 4.312
angles: 80.56 90.00 91.03
Fractional positions:
1 Zr 0.608 0.019 0.621
2 Zr 0.097 0.830 0.714
3 Al 0.597 0.849 0.205
4 Al 0.106 0.998 0.131
5 K 0.169 0.267 0.998
6 K 0.692 0.582 0.337

**Energy relative to the lowest polymorph listed for this composition**: 0.005 eV/atom

***

No. 4
DFT (PBE) results for a relaxed KZrAl crystal.

abc: 8.347 8.347 3.206
angles: 78.93 78.93 22.15
Fractional positions:
1 K 0.346 0.346 0.654
2 Zr 0.632 0.632 0.368
3 Al 0.022 0.021 0.978

**Energy relative to the lowest polymorph listed for this composition**: 0.314 eV/atom

***

No. 5
DFT (PBE) results for a relaxed KZr2Al crystal.

abc: 6.750 6.750 6.750
angles: 153.66 131.12 56.38
Fractional positions:
1 Zr 0.534 0.534 0.000
2 Zr 0.966 0.966 0.000
3 K 0.250 0.750 0.500
4 Al 0.750 0.250 0.500

***

No. 6
DFT (PBE) results for a relaxed KZr3Al crystal.

abc: 4.891 4.891 4.891
angles: 90.00 90.00 90.00
Site moments in Bohr magnetons follow the coordinates.
Fractional positions:
1 Zr 0.000 0.500 0.000  0.43
2 Zr 0.000 0.000 0.500  0.48
3 Zr 0.500 0.000 0.000  0.42
4 K 0.000 0.000 0.000  0.19
5 Al 0.500 0.500 0.500  -0.01

***

The magnetic moment results, record by record, are as follows: 0.000, 0.000, 0.000, 0.241, 0.000, 2.043 μB per formula unit.
The total energy results, record by record, are as follows: -0.265, -0.283, -0.328, -0.305, -0.372, -0.312 Ry/atom.
The calculated formation energy results, record by record, are as follows: 0.5688, 0.6091, 0.0002, 0.3095, 0.4179, 1.8474 eV/atom.